Computed, not measured: an optimized crystal structure of PmAlCoO4 at the PBE+U level of DFT.

Output
N(E_F): 4.16 states/eV/cell
DFT total energy: -7.0983 eV per atom
SG: No. 82
M_tot: 0.14 μB/atom

Cell: 4.881 4.881 4.881 Å, 113.73 113.73 101.25°
Fractional coordinates of all 7 atoms:
Pm (0.000, 0.000, 0.000)
Al (0.500, 0.500, 0.000)
Co (0.250, 0.750, 0.500)
O (0.152, 0.529, 0.032)
O (0.471, 0.503, 0.623)
O (0.497, 0.120, 0.968)
O (0.880, 0.848, 0.377)